First-principles (PBE-GGA) data for a relaxed AcLa4Y5 crystal, as listed in the Alexandria database.

The structure belongs to space group C2/m (No. 12); the cell edges are 9.970, 5.981 and 12.595 Å and the angles 90.00°, 108.44° and 90.00°. The distinct sites, in fractional coordinates, are Ac at (0.000, 0.000, 0.000), La at (0.098, 0.500, 0.799), La at (0.200, 0.000, 0.599), Y at (0.000, 0.500, 0.500), Y at (0.101, 0.000, 0.302) and Y at (0.202, 0.500, 0.103).

The value obtained for the theoretical density is 5.72 g/cm3. The formation energy comes out at 73 meV/atom. Its density of states at the Fermi level is 32.3 states/eV/cell. Its total moment is 0.00 μB/atom. The crystal system is monoclinic. The excess energy over the best structure of this formula in the dataset is 44 meV/atom.

First-principles (PBE-GGA) data for a relaxed AcLaY6 crystal, as listed in the Alexandria database.

The structure belongs to space group R-3 (No. 148, hexagonal axes); the cell edges are 9.8447, 9.8447 and 10.0646 Å and the angles 90.00°, 90.00° and 120.00°. The distinct sites, in fractional coordinates, are Ac at (0.0000, 0.0000, 0.0000), La at (0.0000, 0.0000, 0.5000) and Y at (0.0020, 0.7093, 0.2498).

The value obtained for the theoretical density is 5.31 g/cm3. The formation energy comes out at 137 meV/atom. Its density of states at the Fermi level is 46.5 states/eV/cell. Its total moment is 0.00 μB/atom. The crystal system is trigonal. The excess energy over the best structure of this formula in the dataset is 0 meV/atom.

First-principles (PBE-GGA) data for a relaxed AcLa2Y9 crystal, as listed in the Alexandria database.

The structure belongs to space group P4/mmm (No. 123); the cell edges are 5.146, 5.146 and 15.451 Å and the angles 90.00°, 90.00° and 90.00°. The distinct sites, in fractional coordinates, are Ac at (0.000, 0.000, 0.000), La at (0.000, 0.000, 0.335), Y at (0.000, 0.500, 0.170), Y at (0.000, 0.500, 0.500), Y at (0.500, 0.500, 0.000) and Y at (0.500, 0.500, 0.335).

The value obtained for the theoretical density is 5.30 g/cm3. The formation energy comes out at 41 meV/atom. Its density of states at the Fermi level is 21.6 states/eV/cell. Its total moment is 0.00 μB/atom. The crystal system is tetragonal.

First-principles (PBE-GGA) data for a relaxed AcLa3Y3 crystal, as listed in the Alexandria database.

The structure belongs to space group P6_3/m (No. 176); the cell edges are 9.9342, 9.9342 and 5.9661 Å and the angles 90.00°, 90.00° and 120.00°. The distinct sites, in fractional coordinates, are Ac at (0.3333, 0.6667, 0.2500), La at (0.0949, 0.6236, 0.7500) and Y at (0.0437, 0.8152, 0.2500).

The value obtained for the theoretical density is 5.93 g/cm3. The formation energy comes out at 38 meV/atom. Its density of states at the Fermi level is 26.0 states/eV/cell. Its total moment is 0.00 μB/atom. The crystal system is hexagonal. The excess energy over the best structure of this formula in the dataset is 0 meV/atom.

First-principles (PBE-GGA) data for a relaxed Ac4La15Y crystal, as listed in the Alexandria database.

The structure belongs to space group P4/mmm (No. 123); the cell edges are 5.341, 5.341 and 26.645 Å and the angles 90.00°, 90.00° and 90.00°. The distinct sites, in fractional coordinates, are Ac at (0.000, 0.000, 0.101), Ac at (0.000, 0.000, 0.302), La at (0.000, 0.500, 0.000), La at (0.000, 0.500, 0.201), La at (0.000, 0.500, 0.404), La at (0.500, 0.500, 0.101), La at (0.500, 0.500, 0.304), La at (0.500, 0.500, 0.500) and Y at (0.000, 0.000, 0.500).

The value obtained for the theoretical density is 6.73 g/cm3. The formation energy comes out at 17 meV/atom. Its density of states at the Fermi level is 40.0 states/eV/cell. Its total moment is 0.00 μB/atom. The crystal system is tetragonal.

First-principles (PBE-GGA) data for a relaxed Ac3LaY3 crystal, as listed in the Alexandria database.

The structure belongs to space group P6_3/m (No. 176); the cell edges are 10.1336, 10.1336 and 6.0590 Å and the angles 90.00°, 90.00° and 120.00°. The distinct sites, in fractional coordinates, are Ac at (0.0937, 0.6288, 0.2500), La at (0.3333, 0.6667, 0.7500) and Y at (0.0443, 0.8187, 0.7500).

The value obtained for the theoretical density is 6.70 g/cm3. The formation energy comes out at 51 meV/atom. Its density of states at the Fermi level is 25.2 states/eV/cell. Its total moment is 0.00 μB/atom. The crystal system is hexagonal.

First-principles (PBE-GGA) data for a relaxed Ac12La7Y crystal, as listed in the Alexandria database.

The structure belongs to space group R-3 (No. 148, hexagonal axes); the cell edges are 16.1362, 16.1362 and 11.1456 Å and the angles 90.00°, 90.00° and 120.00°. The distinct sites, in fractional coordinates, are Ac at (0.0425, 0.8492, 0.2450), Ac at (0.0449, 0.7939, 0.5717), La at (0.0000, 0.0000, 0.5000), La at (0.0698, 0.8250, 0.9251) and Y at (0.0000, 0.0000, 0.0000).

The value obtained for the theoretical density is 7.50 g/cm3. The formation energy comes out at 122 meV/atom. Its density of states at the Fermi level is 102.3 states/eV/cell. Its total moment is 0.00 μB/atom. The crystal system is trigonal. The excess energy over the best structure of this formula in the dataset is 0 meV/atom.

First-principles (PBE-GGA) data for a relaxed AcLa3Y4 crystal, as listed in the Alexandria database.

The structure belongs to space group Immm (No. 71); the cell edges are 3.525, 12.003 and 13.530 Å and the angles 90.00°, 90.00° and 90.00°. The distinct sites, in fractional coordinates, are Ac at (0.000, 0.000, 0.000), La at (0.000, 0.000, 0.500), La at (0.000, 0.500, 0.256) and Y at (0.000, 0.253, 0.135).

The value obtained for the theoretical density is 5.80 g/cm3. The formation energy comes out at 146 meV/atom. Its density of states at the Fermi level is 27.4 states/eV/cell. Its total moment is 0.00 μB/atom. The crystal system is orthorhombic.

First-principles (PBE-GGA) data for a relaxed AcLa12Y3 crystal, as listed in the Alexandria database.

The structure belongs to space group P4/mmm (No. 123); the cell edges are 5.255, 5.255 and 21.047 Å and the angles 90.00°, 90.00° and 90.00°. The distinct sites, in fractional coordinates, are Ac at (0.000, 0.000, 0.000), La at (0.000, 0.500, 0.130), La at (0.000, 0.500, 0.377), La at (0.500, 0.500, 0.000), La at (0.500, 0.500, 0.254), La at (0.500, 0.500, 0.500), Y at (0.000, 0.000, 0.254) and Y at (0.000, 0.000, 0.500).

The value obtained for the theoretical density is 6.17 g/cm3. The formation energy comes out at 12 meV/atom. Its density of states at the Fermi level is 25.9 states/eV/cell. Its total moment is 0.00 μB/atom. The crystal system is tetragonal.

First-principles (PBE-GGA) data for a relaxed Ac2La3Y crystal, as listed in the Alexandria database.

The structure belongs to space group Cmmm (No. 65); the cell edges are 3.933, 18.835 and 6.286 Å and the angles 90.00°, 90.00° and 90.00°. The distinct sites, in fractional coordinates, are Ac at (0.000, 0.160, 0.000), La at (0.000, 0.000, 0.500), La at (0.000, 0.334, 0.500) and Y at (0.000, 0.500, 0.000).

The value obtained for the theoretical density is 6.84 g/cm3. The formation energy comes out at 109 meV/atom. Its density of states at the Fermi level is 23.4 states/eV/cell. Its total moment is 0.00 μB/atom. The crystal system is orthorhombic. The excess energy over the best structure of this formula in the dataset is 33 meV/atom.

Look up the total moment of the sixth one.
0.00 μB/atom

Among the records above, which one has the highest theoretical density?
Ac12La7Y